No. 1
Compound: NpCoSi
Source: OQMD via LeMat-Bulk
Functional: PBE-GGA
Structure: relaxed

```
3
Lattice="0.8879 -3.0267 2.8074 -2.8575 -1.0796 2.9155 -1.9501 -3.7379 -0.2375" Properties=species:S:1:pos:R:3 pbc="T T T"
Co 0.0000 0.0000 0.0000
Np -0.9799 -1.9611 1.3713
Si -2.9398 -5.8832 4.1140
```

Properties
- Total magnetic moment: 0.97 μB/atom
- E_tot: -8.530 eV per atom
- Space-group type: No. 216


No. 2
Compound: TcPPbO
Source: OQMD via LeMat-Bulk
Functional: PBE-GGA
Structure: relaxed

```
8
Lattice="-2.7052 -1.6524 -1.6180 3.5945 -0.9977 -4.9908 2.1190 -6.1716 2.7600" Properties=species:S:1:pos:R:3 pbc="T T T"
O 2.1295 -3.1026 -0.3919
O 4.4307 -6.5331 -0.7360
P 2.5301 -3.4368 -4.6344
P 0.5823 -5.6879 0.9211
Pb 1.0673 -0.5914 -1.1805
Pb 3.8107 -4.1447 -2.1385
Tc 0.3865 -3.9710 -0.5050
Tc 3.5829 -7.6500 -2.0920
```

Properties
- Total magnetic moment: 0.00 μB/atom
- Energy above the lowest structure with this stoichiometry: 204 meV/atom
- E_tot: -6.443 eV per atom
- Space-group type: No. 26


No. 3
Compound: NbNiW
Source: OQMD via LeMat-Bulk
Functional: PBE-GGA
Structure: relaxed

```
3
Lattice="0.0461 -0.4439 4.1151 -2.7515 2.0311 2.3317 -3.0413 -2.0745 1.8921" Properties=species:S:1:pos:R:3 pbc="T T T"
Nb -1.4367 -0.1218 2.0847
Ni 0.0000 0.0000 0.0000
W -4.3101 -0.3654 6.2541
```

Properties
- E_form: 0.576 eV/atom
- Total magnetic moment: 0.01 μB/atom
- Energy above the lowest structure with this stoichiometry: 0 meV/atom
- E_tot: -8.965 eV per atom
- Space-group type: No. 216


No. 4
Compound: SmCoSiGe2
Source: OQMD via LeMat-Bulk
Functional: PBE-GGA
Structure: relaxed

```
5
Lattice="-2.1258 2.1258 4.8531 2.1258 -2.1258 4.8531 2.1258 2.1258 -4.8531" Properties=species:S:1:pos:R:3 pbc="T T T"
Co 0.0000 0.0000 0.0251
Ge 0.0000 2.1258 3.8841
Ge 2.1258 0.0000 3.8841
Si 0.0000 0.0000 2.2192
Sm 0.0000 0.0000 6.4113
```

Properties
- Total magnetic moment: 0.00 μB/atom
- E_tot: -5.872 eV per atom
- Space-group type: No. 107